Material: BeAsPb2
Method: DFT, PBE
State: relaxed

a = 5.4413 Å, b = 5.4413 Å, c = 5.4413 Å
α = 136.13°, β = 118.12°, γ = 78.91°
Closest atoms and distances in Å follow each position.
Fractional positions:
1 Pb 0.0288 0.0288 0.0000  2 Be 2.75
2 Pb 0.4712 0.4712 0.0000  2 Be 2.75
3 Be 0.2500 0.7500 0.5000  4 Pb 2.75
4 As 0.7500 0.2500 0.5000  8 Pb 3.10-3.36, 4 Be 3.46

Results
N(E_F) in states/eV per atom: 0.59
ΔE to the lowest computed polymorph in meV/atom: 351
E_form in eV/atom: 0.534
Magnetic moment in μB/f.u.: 0.00
Theoretical density in g/cm3: 8.66